Entry 1:
Here is a geometry-optimized Mg6CuPt2 structure from Alexandria via LeMat-Bulk. Energies are from PBE.

POSCAR file:
```
Mg6CuPt2
1.0
4.601 0.000 0.000
-2.300 3.987 0.007
0.000 -0.007 8.548
Mg Cu Pt
6 1 2
direct
0.667 0.333 0.934
0.333 0.667 0.066
0.000 0.000 0.201
0.333 0.667 0.412
0.000 0.000 0.799
0.667 0.333 0.588
0.000 0.000 0.500
0.333 0.667 0.745
0.667 0.333 0.255
```

Output
E_form	-4.247	eV/f.u.
symmetry	C2/m
size of the total moment	0.0	μB per cell

=====

Entry 2:
Here is a geometry-optimized La2TbTm4 structure from Alexandria via LeMat-Bulk. Energies are from PBE.

POSCAR file:
```
La2TbTm4
1.0
7.951 0.780 -3.247
-3.285 5.610 -2.802
0.012 0.321 9.440
Tm Tb La
8 2 4
direct
0.908 0.395 0.948
0.176 0.647 0.813
0.779 0.646 0.524
0.042 0.377 0.350
0.360 0.142 0.224
0.625 0.892 0.085
0.175 0.140 0.813
0.039 0.873 0.348
0.629 0.394 0.095
0.914 0.899 0.955
0.484 0.911 0.679
0.473 0.395 0.679
0.788 0.149 0.515
0.357 0.641 0.222
```

Output
E_form	0.280	eV/f.u.
symmetry	P1
size of the total moment	0.0	μB per cell

=====

Entry 3:
Here is a geometry-optimized Hf3NbNi structure from Alexandria via LeMat-Bulk. Energies are from PBE.

POSCAR file:
```
Hf3NbNi
1.0
-0.534 -4.888 0.939
4.528 -0.869 -1.949
2.066 0.641 4.514
Ni Nb Hf
1 1 3
direct
0.500 0.500 0.500
0.000 0.000 0.000
0.000 0.500 0.000
0.000 0.000 0.500
0.500 0.000 0.000
```

Output
E_form	6.569	eV/f.u.
symmetry	Pm-3m
size of the total moment	0.0	μB per cell

=====

Entry 4:
Here is a geometry-optimized RbBaYPd2 structure from Alexandria via LeMat-Bulk. Energies are from PBE.

POSCAR file:
```
RbBaYPd2
1.0
5.465 0.000 0.000
0.000 5.795 0.000
0.000 0.000 5.465
Y Rb Ba Pd
1 1 1 2
direct
0.500 0.500 0.500
0.000 0.000 0.000
0.000 0.500 0.000
0.000 0.000 0.500
0.500 0.000 0.000
```

Output
E_form	4.675	eV/f.u.
symmetry	P4/mmm
size of the total moment	0.0	μB per cell

=====

Entry 5:
Here is a geometry-optimized Ba2URh3O12 structure from Alexandria via LeMat-Bulk. Energies are from PBE.

POSCAR file:
```
Ba2URh3O12
1.0
-1.136 6.017 -4.206
-6.652 3.244 -0.639
-1.493 6.681 2.884
Ba U Rh O
2 1 3 12
direct
0.608 0.608 0.608
0.392 0.392 0.392
0.000 0.000 0.000
0.500 0.000 0.000
0.000 0.500 0.000
0.000 0.000 0.500
0.323 0.323 0.903
0.916 0.916 0.346
0.346 0.916 0.916
0.903 0.323 0.323
0.916 0.346 0.916
0.323 0.903 0.323
0.677 0.677 0.097
0.084 0.084 0.654
0.654 0.084 0.084
0.097 0.677 0.677
0.084 0.654 0.084
0.677 0.097 0.677
```

Output
symmetry	R-3m
size of the total moment	0.0	μB per cell
raw formation energy	-1652	meV per atom

=====

Entry 6:
Here is a geometry-optimized PmYSnIr structure from Alexandria via LeMat-Bulk. Energies are from PBE.

POSCAR file:
```
PmYSnIr
1.0
5.162 0.000 0.000
2.581 4.471 0.000
2.581 1.490 4.215
Y Ir Sn Pm
1 1 1 1
direct
0.750 0.750 0.750
0.500 0.500 0.500
0.000 0.000 0.000
0.250 0.250 0.250
```

Output
E_form	-2.222	eV/f.u.
symmetry	F-43m
size of the total moment	0.0	μB per cell